## CrAs2SeO (PBE with a Hubbard U)

Data for a relaxed CrAs2SeO crystal.

Structure (POSCAR):
```
CrAs2SeO
1.0
4.249 0.000 0.000
0.000 4.249 0.000
0.000 0.000 4.793
Cr As Se O
1 2 1 1
Cartesian
0.000 0.000 0.000 Cr
0.000 2.125 2.397 As
2.125 0.000 2.397 As
2.125 2.125 0.000 Se
2.125 2.125 2.397 O
```

Results
**ΔE to the lowest computed polymorph**: 0 meV per atom
**Density of states at the Fermi level**: 0.45 states/eV per atom